This record from the Alexandria database describes a geometry-optimized Na2USnBr8 structure. The functional is PBE-GGA.

```
Na2USnBr8
1.0
6.8394 0.0000 0.0000
0.5035 7.1214 0.0000
0.0193 0.0120 8.8973
Na U Sn Br
2 1 1 8
direct
0.0021 0.0024 0.2392
0.9979 0.9976 0.7608
0.5000 0.5000 0.5000
0.5000 0.5000 0.0000
0.2316 0.8304 0.9998
0.2383 0.8179 0.4998
0.2821 0.3453 0.7301
0.2834 0.3430 0.2704
0.7166 0.6570 0.7296
0.7179 0.6547 0.2699
0.7617 0.1821 0.5002
0.7684 0.1696 0.0002
```

This record from the Alexandria database describes a geometry-optimized Na2VSnBr6 structure. The functional is PBE-GGA.

```
Na2VSnBr6
1.0
3.6561 2.1109 6.5049
-3.6561 2.1109 6.5049
0.0000 -4.2217 6.5049
Na V Sn Br
2 1 1 6
direct
0.0000 0.0000 0.0000
0.4900 0.4900 0.4900
0.6880 0.6880 0.6880
0.1945 0.1945 0.1945
0.0511 0.4441 0.7920
0.3211 0.8999 0.5927
0.4441 0.7920 0.0511
0.5927 0.3211 0.8999
0.7920 0.0511 0.4441
0.8999 0.5927 0.3211
```

This record from the Alexandria database describes a geometry-optimized NaYSn2Br8 structure. The functional is PBE-GGA.

```
NaYSn2Br8
1.0
6.7905 0.0000 0.0000
0.0000 8.7410 0.0000
-0.1556 0.0000 7.1515
Na Y Sn Br
1 1 2 8
direct
0.0000 0.0000 0.0000
0.0000 0.5000 0.0000
0.5000 0.2456 0.5000
0.5000 0.7544 0.5000
0.2335 0.2621 0.1543
0.2335 0.7379 0.1543
0.2353 0.5000 0.6790
0.2709 0.0000 0.6546
0.7291 0.0000 0.3454
0.7647 0.5000 0.3210
0.7665 0.2621 0.8457
0.7665 0.7379 0.8457
```

What raw formation energy values result from the calculations? In sequence: -1.23 -1.06 -1.25 eV/atom.